The following is a PBE calculation of K3Ce3NiS8 after structural relaxation, from Alexandria via LeMat-Bulk.

```
data_K3Ce3NiS8
_chemical_formula_sum 'K3 Ce3 Ni1 S8'
_space_group_name_H-M_alt 'P 1'
_space_group_IT_number 1
_cell_length_a 8.780
_cell_length_b 8.780
_cell_length_c 8.780
_cell_angle_alpha 54.48
_cell_angle_beta 54.48
_cell_angle_gamma 54.48
loop_
_space_group_symop_operation_xyz
'x,y,z'
loop_
_atom_site_label
_atom_site_fract_x
_atom_site_fract_y
_atom_site_fract_z
K1 0.000 0.500 0.500
K2 0.500 0.000 0.500
K3 0.500 0.500 0.000
Ce1 0.000 0.000 0.500
Ce2 0.000 0.500 0.000
Ce3 0.500 0.000 0.000
Ni1 0.500 0.500 0.500
S1 0.236 0.236 0.236
S2 0.250 0.718 0.718
S3 0.282 0.282 0.750
S4 0.282 0.750 0.282
S5 0.718 0.250 0.718
S6 0.718 0.718 0.250
S7 0.750 0.282 0.282
S8 0.764 0.764 0.764
```

Computed properties:
Its symmetry is R-3m, No. 166. The crystal system is trigonal.



The following is a PBE calculation of KCe2Ni2S6 after structural relaxation, from Alexandria via LeMat-Bulk.

```
data_KCe2Ni2S6
_chemical_formula_sum 'K1 Ce2 Ni2 S6'
_space_group_name_H-M_alt 'P 1'
_space_group_IT_number 1
_cell_length_a 5.373
_cell_length_b 7.023
_cell_length_c 7.475
_cell_angle_alpha 107.74
_cell_angle_beta 107.29
_cell_angle_gamma 101.52
loop_
_space_group_symop_operation_xyz
'x,y,z'
loop_
_atom_site_label
_atom_site_fract_x
_atom_site_fract_y
_atom_site_fract_z
K1 0.000 0.000 0.000
Ce1 0.406 0.291 0.697
Ce2 0.594 0.709 0.303
Ni1 0.205 0.683 0.611
Ni2 0.795 0.317 0.389
S1 0.171 0.859 0.399
S2 0.209 0.399 0.380
S3 0.411 0.697 0.921
S4 0.589 0.303 0.079
S5 0.791 0.601 0.620
S6 0.829 0.141 0.601
```

Computed properties:
Its symmetry is P-1, No. 2. The crystal system is triclinic.



The following is a PBE calculation of K3Ce2NiS6 after structural relaxation, from Alexandria via LeMat-Bulk.

```
data_K3Ce2NiS6
_chemical_formula_sum 'K3 Ce2 Ni1 S6'
_space_group_name_H-M_alt 'P 1'
_space_group_IT_number 1
_cell_length_a 6.961
_cell_length_b 6.961
_cell_length_c 7.691
_cell_angle_alpha 98.52
_cell_angle_beta 98.52
_cell_angle_gamma 120.45
loop_
_space_group_symop_operation_xyz
'x,y,z'
loop_
_atom_site_label
_atom_site_fract_x
_atom_site_fract_y
_atom_site_fract_z
K1 0.000 0.000 0.000
K2 0.335 0.665 0.000
K3 0.665 0.335 0.000
Ce1 0.167 0.833 0.500
Ce2 0.833 0.167 0.500
Ni1 0.500 0.500 0.500
S1 0.114 0.434 0.301
S2 0.255 0.255 0.691
S3 0.434 0.114 0.301
S4 0.566 0.886 0.699
S5 0.745 0.745 0.309
S6 0.886 0.566 0.699
```

Computed properties:
Its symmetry is C2/m, No. 12. The crystal system is monoclinic.



Number 1: final energy -5.43 eV/atom, magnetic moment 0.21 μB per atom. Number 2: final energy -5.67 eV/atom, magnetic moment 0.00 μB per atom. Number 3: final energy -5.16 eV/atom, magnetic moment 0.20 μB per atom.